Material: MgSc2Ta
Method: DFT, PBE-GGA
State: optimized geometry

Electronic total energy = -25.64 eV/cell
Formation energy = 0.12 eV/atom
Magnetic moment = 0.0 μB per formula unit

abc: 3.135 4.178 6.637
angles: 90.00 90.00 90.00
Space group Pmmm (No. 47)
Inequivalent atoms, fractional coordinates:
Mg  0.000  0.000  0.000 [1 per cell]
Sc  0.500  0.500  0.272 [2 per cell]
Ta  0.000  0.000  0.500 [1 per cell]

Material: Hf3Zr2Ge2
Method: DFT, PBE-GGA
State: optimized geometry

Electronic total energy = -119.26 eV/cell
Formation energy = -0.49 eV/atom
Magnetic moment = 0.0 μB per formula unit

abc: 10.712 3.808 7.516
angles: 90.00 109.07 90.00
Space group C2/m (No. 12)
Inequivalent atoms, fractional coordinates:
Hf  0.000  0.000  0.000 [2 per cell]
Hf  0.126  0.000  0.452 [4 per cell]
Zr  0.143  0.500  0.800 [4 per cell]
Ge  0.166  0.500  0.203 [4 per cell]

Material: TiInI2
Method: DFT, PBE-GGA
State: optimized geometry

Electronic total energy = -57.84 eV/cell
Energy above the lowest structure with this stoichiometry = 0 kJ/mol of formula units
Magnetic moment = 1.6 μB per formula unit
Uncorrected formation energy = -0.1816 eV per atom

abc: 9.993 9.993 5.901
angles: 90.00 90.00 90.00
Space group I-42d (No. 122)
Inequivalent atoms, fractional coordinates:
Ti  0.000  0.000  0.000 [4 per cell]
In  0.000  0.000  0.500 [4 per cell]
I  0.106  0.250  0.125 [8 per cell]

Material: BaCa2Ta
Method: DFT, PBE-GGA
State: optimized geometry

Electronic total energy = -29.03 eV/cell
Energy above the lowest structure with this stoichiometry = 62 kJ/mol of formula units
Formation energy = 0.82 eV/atom
Magnetic moment = 1.3 μB per formula unit

abc: 3.591 6.137 12.721
angles: 90.00 90.00 90.00
Space group Imm2 (No. 44)
Inequivalent atoms, fractional coordinates:
Ba  0.000  0.000  0.000 [2 per cell]
Ca  0.000  0.000  0.579 [2 per cell]
Ca  0.000  0.500  0.793 [2 per cell]
Ta  0.000  0.500  0.282 [2 per cell]

Material: LiReI2N
Method: DFT, PBE-GGA
State: optimized geometry

Electronic total energy = -17.61 eV/cell
Energy above the lowest structure with this stoichiometry = 751 kJ/mol of formula units
Magnetic moment = 1.0 μB per formula unit
Uncorrected formation energy = 1.6351 eV per atom

abc: 5.122 5.122 3.459
angles: 90.00 90.00 90.00
Space group P4/mmm (No. 123)
Inequivalent atoms, fractional coordinates:
Li  0.000  0.000  0.000 [1 per cell]
Re  0.500  0.500  0.500 [1 per cell]
I  0.000  0.500  0.000 [2 per cell]
N  0.000  0.000  0.500 [1 per cell]

Material: NbTeSe4
Method: DFT, PBE-GGA
State: optimized geometry

Electronic total energy = -116.04 eV/cell
Magnetic moment = 0.0 μB per formula unit
Uncorrected formation energy = -0.3101 eV per atom

abc: 9.062 12.158 6.601
angles: 90.00 115.67 90.00
Space group C2/c (No. 15)
Inequivalent atoms, fractional coordinates:
Nb  0.000  0.049  0.250 [4 per cell]
Te  0.250  0.250  0.000 [4 per cell]
Se  0.057  0.242  0.456 [8 per cell]
Se  0.233  0.029  0.114 [8 per cell]

Material: CsBa2NaI6
Method: DFT, PBE-GGA
State: optimized geometry

Electronic total energy = -31.35 eV/cell
Magnetic moment = 0.0 μB per formula unit
Uncorrected formation energy = -1.6027 eV per atom

abc: 8.876 8.881 9.432
angles: 61.94 61.93 60.03
Space group P1 (No. 1)
Inequivalent atoms, fractional coordinates:
Cs  0.000  0.000  0.000 [1 per cell]
Ba  0.279  0.280  0.160 [1 per cell]
Ba  0.794  0.795  0.617 [1 per cell]
Na  0.479  0.478  0.564 [1 per cell]
I  0.080  0.440  0.848 [1 per cell]
I  0.205  0.870  0.359 [1 per cell]
I  0.439  0.633  0.848 [1 per cell]
I  0.566  0.206  0.359 [1 per cell]
I  0.632  0.080  0.848 [1 per cell]
I  0.870  0.567  0.359 [1 per cell]

Material: BaMg2AgTe
Method: DFT, PBE-GGA
State: optimized geometry

Electronic total energy = -6.61 eV/cell
Magnetic moment = 0.0 μB per formula unit
Uncorrected formation energy = 0.8995 eV per atom

abc: 6.564 6.564 5.883
angles: 90.00 90.00 90.00
Space group P4/mmm (No. 123)
Inequivalent atoms, fractional coordinates:
Ba  0.000  0.000  0.000 [1 per cell]
Mg  0.000  0.500  0.000 [2 per cell]
Ag  0.000  0.000  0.500 [1 per cell]
Te  0.500  0.500  0.500 [1 per cell]

Material: K3Ce2RhSe6
Method: DFT, PBE-GGA
State: optimized geometry

Electronic total energy = -117.61 eV/cell
Magnetic moment = 2.1 μB per formula unit
Uncorrected formation energy = -1.2821 eV per atom

abc: 7.179 12.466 8.079
angles: 90.00 107.44 90.00
Space group C2/m (No. 12)
Inequivalent atoms, fractional coordinates:
K  0.000  0.000  0.000 [2 per cell]
K  0.000  0.330  0.000 [4 per cell]
Ce  0.000  0.166  0.500 [4 per cell]
Rh  0.000  0.500  0.500 [2 per cell]
Se  0.219  0.347  0.699 [8 per cell]
Se  0.239  0.500  0.300 [4 per cell]

Material: Zr2TaW
Method: DFT, PBE-GGA
State: optimized geometry

Electronic total energy = -155.40 eV/cell
Energy above the lowest structure with this stoichiometry = 272 kJ/mol of formula units
Formation energy = 0.76 eV/atom
Magnetic moment = 0.0 μB per formula unit

abc: 7.630 7.630 5.714
angles: 90.00 90.00 90.00
Space group I-42d (No. 122)
Inequivalent atoms, fractional coordinates:
Zr  0.238  0.250  0.125 [8 per cell]
Ta  0.000  0.000  0.500 [4 per cell]
W  0.000  0.000  0.000 [4 per cell]

Material: Cs2DyZn3F12
Method: DFT, PBE-GGA
State: optimized geometry

Electronic total energy = -246.19 eV/cell
Magnetic moment = 0.0 μB per formula unit
Uncorrected formation energy = -2.7486 eV per atom

abc: 7.4988 7.4988 19.3412
angles: 90.00 90.00 120.00
Space group R-3m (No. 166, hexagonal axes)
Inequivalent atoms, fractional coordinates:
Cs  0.0000  0.0000  0.1148 [6 per cell]
Dy  0.0000  0.0000  0.5000 [3 per cell]
Zn  0.0000  0.5000  0.0000 [9 per cell]
F  0.0470  0.5235  0.1066 [18 per cell]
F  0.0747  0.5373  0.3444 [18 per cell]

Material: Mg2Sb2Pd7
Method: DFT, PBE-GGA
State: optimized geometry

Electronic total energy = -106.73 eV/cell
Energy above the lowest structure with this stoichiometry = 0 kJ/mol of formula units
Magnetic moment = 0.0 μB per formula unit
Uncorrected formation energy = -0.5074 eV per atom

abc: 4.237 12.407 7.175
angles: 90.00 90.00 90.00
Space group Imm2 (No. 44)
Inequivalent atoms, fractional coordinates:
Mg  0.000  0.000  0.000 [2 per cell]
Mg  0.000  0.500  0.179 [2 per cell]
Sb  0.000  0.293  0.958 [4 per cell]
Pd  0.000  0.143  0.682 [4 per cell]
Pd  0.000  0.158  0.253 [4 per cell]
Pd  0.000  0.360  0.470 [4 per cell]
Pd  0.000  0.500  0.793 [2 per cell]

Material: Ba2Zn2Cd
Method: DFT, PBE-GGA
State: optimized geometry

Electronic total energy = -33.41 eV/cell
Energy above the lowest structure with this stoichiometry = 0 kJ/mol of formula units
Formation energy = -0.21 eV/atom
Magnetic moment = 0.0 μB per formula unit

abc: 11.899 5.139 12.170
angles: 90.00 119.20 90.00
Space group C2/m (No. 12)
Inequivalent atoms, fractional coordinates:
Ba  0.021  0.000  0.336 [4 per cell]
Ba  0.205  0.000  0.117 [4 per cell]
Zn  0.001  0.500  0.893 [4 per cell]
Zn  0.133  0.500  0.554 [4 per cell]
Cd  0.229  0.500  0.353 [4 per cell]

Material: AcTmCd4
Method: DFT, PBE-GGA
State: optimized geometry

Electronic total energy = -14.06 eV/cell
Energy above the lowest structure with this stoichiometry = 0 kJ/mol of formula units
Formation energy = -0.30 eV/atom
Magnetic moment = 0.0 μB per formula unit

abc: 5.0024 5.0024 7.5547
angles: 90.00 90.00 120.00
Space group P6/mmm (No. 191)
Inequivalent atoms, fractional coordinates:
Ac  0.0000  0.0000  0.0000 [1 per cell]
Tm  0.0000  0.0000  0.5000 [1 per cell]
Cd  0.3333  0.6667  0.2856 [4 per cell]

Material: Tb8Al2Cd
Method: DFT, PBE-GGA
State: optimized geometry

Electronic total energy = -94.97 eV/cell
Energy above the lowest structure with this stoichiometry = 0 kJ/mol of formula units
Formation energy = -0.19 eV/atom
Magnetic moment = 0.0 μB per formula unit

abc: 16.111 5.251 8.413
angles: 90.00 119.84 90.00
Space group C2/m (No. 12)
Inequivalent atoms, fractional coordinates:
Tb  0.066  0.000  0.220 [4 per cell]
Tb  0.100  0.500  0.956 [4 per cell]
Tb  0.142  0.000  0.698 [4 per cell]
Tb  0.183  0.500  0.454 [4 per cell]
Al  0.226  0.000  0.124 [4 per cell]
Cd  0.000  0.500  0.500 [2 per cell]

Material: DyNbAs2
Method: DFT, PBE-GGA
State: optimized geometry

Electronic total energy = -83.71 eV/cell
Energy above the lowest structure with this stoichiometry = 0 kJ/mol of formula units
Formation energy = -0.98 eV/atom
Magnetic moment = 0.0 μB per formula unit

abc: 3.7925 3.7925 20.2729
angles: 90.00 90.00 120.00
Space group R3m (No. 160, hexagonal axes)
Inequivalent atoms, fractional coordinates:
Dy  0.0000  0.0000  0.0000 [3 per cell]
Nb  0.0000  0.0000  0.1744 [3 per cell]
As  0.0000  0.0000  0.4291 [3 per cell]
As  0.0000  0.0000  0.5803 [3 per cell]

Material: U2In5Br12
Method: DFT, PBE-GGA
State: optimized geometry

Electronic total energy = -148.25 eV/cell
Magnetic moment = 5.0 μB per formula unit
Uncorrected formation energy = -0.9358 eV per atom

abc: 18.180 8.519 10.797
angles: 90.00 109.61 90.00
Space group C2/m (No. 12)
Inequivalent atoms, fractional coordinates:
U  0.000  0.249  0.000 [4 per cell]
In  0.000  0.500  0.500 [2 per cell]
In  0.179  0.000  0.765 [4 per cell]
In  0.220  0.000  0.377 [4 per cell]
Br  0.007  0.500  0.185 [4 per cell]
Br  0.008  0.000  0.190 [4 per cell]
Br  0.143  0.245  0.550 [8 per cell]
Br  0.160  0.242  0.075 [8 per cell]

Material: CaTiOs3
Method: DFT, PBE-GGA
State: optimized geometry

Electronic total energy = -37.66 eV/cell
Energy above the lowest structure with this stoichiometry = 0 kJ/mol of formula units
Formation energy = 1.18 eV/atom
Magnetic moment = 0.9 μB per formula unit

abc: 4.642 4.642 4.642
angles: 90.00 90.00 90.00
Space group Pm-3m (No. 221)
Inequivalent atoms, fractional coordinates:
Ca  0.000  0.000  0.000 [1 per cell]
Ti  0.500  0.500  0.500 [1 per cell]
Os  0.000  0.500  0.500 [3 per cell]

Material: LiSmAl2Pd4
Method: DFT, PBE-GGA
State: optimized geometry

Electronic total energy = -124.35 eV/cell
Formation energy = -0.82 eV/atom
Magnetic moment = 0.0 μB per formula unit

abc: 4.3083 4.3083 25.1950
angles: 90.00 90.00 120.00
Space group R-3m (No. 166, hexagonal axes)
Inequivalent atoms, fractional coordinates:
Li  0.0000  0.0000  0.0000 [3 per cell]
Sm  0.0000  0.0000  0.5000 [3 per cell]
Al  0.0000  0.0000  0.2646 [6 per cell]
Pd  0.0000  0.0000  0.0975 [6 per cell]
Pd  0.0000  0.0000  0.3695 [6 per cell]

Material: Nd4GaNi2
Method: DFT, PBE-GGA
State: optimized geometry

Electronic total energy = -106.10 eV/cell
Formation energy = -0.24 eV/atom
Magnetic moment = 0.0 μB per formula unit

abc: 4.9199 4.9199 25.9633
angles: 90.00 90.00 120.00
Space group R-3m (No. 166, hexagonal axes)
Inequivalent atoms, fractional coordinates:
Nd  0.0000  0.0000  0.1189 [6 per cell]
Nd  0.0000  0.0000  0.2936 [6 per cell]
Ga  0.0000  0.0000  0.5000 [3 per cell]
Ni  0.0000  0.0000  0.4054 [6 per cell]

Material: Zr3CrRh
Method: DFT, PBE-GGA
State: optimized geometry

Electronic total energy = -39.95 eV/cell
Energy above the lowest structure with this stoichiometry = 0 kJ/mol of formula units
Formation energy = 0.53 eV/atom
Magnetic moment = 0.0 μB per formula unit

abc: 4.740 4.740 4.740
angles: 90.00 90.00 90.00
Space group Pm-3m (No. 221)
Inequivalent atoms, fractional coordinates:
Zr  0.000  0.000  0.500 [3 per cell]
Cr  0.000  0.000  0.000 [1 per cell]
Rh  0.500  0.500  0.500 [1 per cell]

Material: Pb2Br
Method: DFT, PBE-GGA
State: optimized geometry

Electronic total energy = -37.37 eV/cell
Energy above the lowest structure with this stoichiometry = 55 kJ/mol of formula units
Magnetic moment = 0.0 μB per formula unit
Uncorrected formation energy = -0.0840 eV per atom

abc: 7.513 7.513 6.852
angles: 90.00 90.00 90.00
Space group I4/mcm (No. 140)
Inequivalent atoms, fractional coordinates:
Pb  0.150  0.350  0.000 [8 per cell]
Br  0.000  0.000  0.250 [4 per cell]

Material: K3Tm3ZnTe8
Method: DFT, PBE-GGA
State: optimized geometry

Electronic total energy = -117.00 eV/cell
Magnetic moment = 0.0 μB per formula unit
Uncorrected formation energy = -1.0258 eV per atom

abc: 14.799 8.727 9.771
angles: 90.00 119.67 90.00
Space group C2/m (No. 12)
Inequivalent atoms, fractional coordinates:
K  0.000  0.000  0.000 [2 per cell]
K  0.250  0.250  0.000 [4 per cell]
Tm  0.000  0.500  0.500 [2 per cell]
Tm  0.250  0.250  0.500 [4 per cell]
Zn  0.000  0.000  0.500 [2 per cell]
Te  0.019  0.279  0.280 [8 per cell]
Te  0.202  0.000  0.679 [4 per cell]
Te  0.238  0.500  0.709 [4 per cell]

Material: Cd2HgMo
Method: DFT, PBE-GGA
State: optimized geometry

Electronic total energy = -34.15 eV/cell
Formation energy = 0.40 eV/atom
Magnetic moment = 0.0 μB per formula unit

abc: 3.0158 3.0158 30.6634
angles: 90.00 90.00 120.00
Space group R3m (No. 160, hexagonal axes)
Inequivalent atoms, fractional coordinates:
Cd  0.0000  0.0000  0.0000 [3 per cell]
Cd  0.0000  0.0000  0.2444 [3 per cell]
Hg  0.0000  0.0000  0.4876 [3 per cell]
Mo  0.0000  0.0000  0.7437 [3 per cell]